CoNi6Ge, optimized geometry, DFT PBE; V = 358.5 Å³ per cell; space group = No. 65; mass density = 9.0 g cm⁻³; formation enthalpy at 0 K = -0.109 eV per atom
1.0
3.557 -5.019 0.000
3.557 5.019 0.000
0.000 0.000 10.041
Co Ni Ge
4 24 4
direct
0.000 0.000 0.247
0.000 0.000 0.753
0.249 0.751 0.000
0.751 0.249 0.000
0.000 0.000 0.000
0.000 0.000 0.500
0.122 0.374 0.124
0.122 0.374 0.876
0.124 0.372 0.374
0.124 0.372 0.626
0.248 0.752 0.247
0.248 0.752 0.753
0.372 0.124 0.374
0.372 0.124 0.626
0.374 0.122 0.124
0.374 0.122 0.876
0.500 0.500 0.000
0.500 0.500 0.500
0.626 0.878 0.124
0.626 0.878 0.876
0.628 0.876 0.374
0.628 0.876 0.626
0.752 0.248 0.247
0.752 0.248 0.753
0.876 0.628 0.374
0.876 0.628 0.626
0.878 0.626 0.124
0.878 0.626 0.876
0.249 0.751 0.500
0.500 0.500 0.248
0.500 0.500 0.752
0.751 0.249 0.500

---

Co2NiGe, optimized geometry, DFT PBE; V = 45.4 Å³ per cell; space group = No. 139; mass density = 9.1 g cm⁻³; formation enthalpy at 0 K = -0.123 eV per atom
1.0
-1.829 1.829 3.396
1.829 -1.829 3.396
1.829 1.829 -3.396
Co Ni Ge
2 1 1
direct
0.250 0.750 0.500
0.750 0.250 0.500
0.000 0.000 0.000
0.500 0.500 0.000

---

Co2NiGe2, optimized geometry, DFT PBE; V = 126.8 Å³ per cell; space group = No. 51; mass density = 8.4 g cm⁻³; formation enthalpy at 0 K = -0.254 eV per atom
1.0
4.983 0.000 0.000
0.000 3.818 0.000
0.000 0.000 6.663
Co Ni Ge
4 2 4
direct
0.000 0.000 0.000
0.250 0.000 0.335
0.500 0.000 0.000
0.750 0.000 0.665
0.000 0.500 0.500
0.500 0.500 0.500
0.250 0.000 0.689
0.250 0.500 0.131
0.750 0.000 0.311
0.750 0.500 0.869

---

CoNiGe, optimized geometry, DFT PBE; V = 36.3 Å³ per cell; space group = No. 156; mass density = 8.7 g cm⁻³; formation enthalpy at 0 K = -0.080 eV per atom
1.0
3.934 0.000 0.000
-1.967 3.407 0.000
0.000 0.000 2.708
Co Ni Ge
1 1 1
direct
0.000 0.000 0.000
0.667 0.333 0.468
0.333 0.667 0.700

---

Co2NiGe, optimized geometry, DFT PBE; V = 101.8 Å³ per cell; space group = No. 122; mass density = 8.1 g cm⁻³; formation enthalpy at 0 K = 0.244 eV per atom
1.0
-1.713 1.713 8.679
1.713 -1.713 8.679
1.713 1.713 -8.679
Co Ni Ge
4 2 2
direct
0.122 0.625 0.997
0.375 0.372 0.497
0.628 0.125 0.003
0.875 0.878 0.503
0.000 0.000 0.000
0.750 0.250 0.500
0.250 0.750 0.500
0.500 0.500 0.000

---

CoNiGe3, optimized geometry, DFT PBE; V = 93.5 Å³ per cell; space group = No. 221; mass density = 6.0 g cm⁻³; formation enthalpy at 0 K = 0.648 eV per atom
1.0
4.539 0.000 0.000
0.000 4.539 0.000
0.000 0.000 4.539
Co Ni Ge
1 1 3
direct
0.000 0.000 0.000
0.500 0.500 0.500
0.000 0.500 0.500
0.500 0.000 0.500
0.500 0.500 0.000

---

CoNiGe, optimized geometry, DFT PBE; V = 70.6 Å³ per cell; space group = No. 194; mass density = 9.0 g cm⁻³; formation enthalpy at 0 K = -0.190 eV per atom
1.0
4.020 0.000 0.000
-2.010 3.481 0.000
0.000 0.000 5.045
Co Ni Ge
2 2 2
direct
0.333 0.667 0.250
0.667 0.333 0.750
0.000 0.000 0.000
0.000 0.000 0.500
0.333 0.667 0.750
0.667 0.333 0.250

---

Co4Ni15Ge, optimized geometry, DFT PBE; V = 220.6 Å³ per cell; space group = No. 123; mass density = 9.0 g cm⁻³; formation enthalpy at 0 K = -0.032 eV per atom
1.0
3.538 0.000 0.000
0.000 3.538 0.000
0.000 0.000 17.624
Co Ni Ge
4 15 1
direct
0.000 0.000 0.099
0.000 0.000 0.297
0.000 0.000 0.703
0.000 0.000 0.901
0.000 0.500 0.000
0.000 0.500 0.198
0.000 0.500 0.397
0.000 0.500 0.603
0.000 0.500 0.802
0.500 0.000 0.000
0.500 0.000 0.198
0.500 0.000 0.397
0.500 0.000 0.603
0.500 0.000 0.802
0.500 0.500 0.099
0.500 0.500 0.298
0.500 0.500 0.500
0.500 0.500 0.702
0.500 0.500 0.901
0.000 0.000 0.500